# 1
## Y2MgScO (PBE)

Data for a relaxed Y2MgScO crystal.

Cell: 4.919 4.919 4.401 Å, 90.00 90.00 90.00°
Atoms (fractional coordinates):
Y: 0.000 0.500 0.000
Y: 0.500 0.000 0.000
Sc: 0.000 0.000 0.500
Mg: 0.500 0.500 0.500
O: 0.000 0.000 0.000

Computed properties:
* E_tot: -31.854 eV/f.u.



# 2
## Ce2GeBr (PBE)

Data for a relaxed Ce2GeBr crystal.

Cell: 3.634 3.634 7.685 Å, 90.00 90.00 90.00°
Atoms (fractional coordinates):
Ge: 0.500 0.500 0.000
Br: 0.500 0.500 0.500
Ce: 0.000 0.000 0.777
Ce: 0.000 0.000 0.223

Computed properties:
* E_tot: -21.594 eV/f.u.
* energy relative to the lowest polymorph listed for this composition: 3.60 kcal/mol of atoms